[1]
Entry from OQMD: a relaxed Lu4CuC2S crystal (PBE).

Summary:
VASP energy = -6.33 eV/atom
crystal system = hexagonal
space-group type = P-6m2, No. 187

```
Lu4CuC2S
1.0
3.586 0.000 0.000
-1.793 3.106 0.000
0.000 0.000 12.866
Lu Cu C S
4 1 2 1
direct
0.000 0.000 0.143 Lu
0.000 0.000 0.857 Lu
0.667 0.333 0.343 Lu
0.667 0.333 0.657 Lu
0.000 0.000 0.500 Cu
0.333 0.667 0.245 C
0.333 0.667 0.755 C
0.667 0.333 0.000 S
```


[2]
Entry from OQMD: a relaxed NbI2Br3 crystal (PBE).

Summary:
ΔE to the lowest computed polymorph = 0 kJ/mol of formula units
crystal system = triclinic
space-group type = P-1, No. 2

```
NbI2Br3
1.0
6.958 0.000 0.000
-3.208 6.829 0.000
-0.390 -3.833 9.674
Nb I Br
2 4 6
direct
0.112 0.226 0.224 Nb
0.888 0.774 0.776 Nb
0.082 0.818 0.565 I
0.246 0.186 0.955 I
0.754 0.814 0.045 I
0.918 0.182 0.435 I
0.106 0.618 0.848 Br
0.304 0.021 0.251 Br
0.439 0.566 0.325 Br
0.561 0.434 0.675 Br
0.696 0.979 0.749 Br
0.894 0.382 0.152 Br
```


[3]
Entry from OQMD: a relaxed RbPrRe crystal (PBE).

Summary:
VASP energy = -4.12 eV/atom
crystal system = cubic
space-group type = F-43m, No. 216

```
RbPrRe
1.0
0.000 3.620 3.620
3.620 0.000 3.620
3.620 3.620 0.000
Rb Pr Re
1 1 1
direct
0.000 0.000 0.000 Rb
0.250 0.250 0.250 Pr
0.500 0.500 0.500 Re
```


[4]
Entry from OQMD: a relaxed NiGeSe crystal (PBE).

Summary:
VASP energy = -4.87 eV/atom
crystal system = monoclinic
space-group type = P2_1/c, No. 14

```
NiGeSe
1.0
6.056 0.000 0.000
0.000 5.861 0.000
-1.643 0.000 5.769
Ni Ge Se
4 4 4
direct
0.248 0.004 0.241 Ni
0.248 0.496 0.741 Ni
0.752 0.504 0.259 Ni
0.752 0.996 0.759 Ni
0.364 0.133 0.637 Ge
0.364 0.367 0.137 Ge
0.636 0.633 0.863 Ge
0.636 0.867 0.363 Ge
0.154 0.631 0.345 Se
0.154 0.869 0.845 Se
0.846 0.131 0.155 Se
0.846 0.369 0.655 Se
```


[5]
Entry from OQMD: a relaxed SrHoPb2 crystal (PBE).

Summary:
VASP energy = -3.83 eV/atom
crystal system = orthorhombic
space-group type = Amm2, No. 38

```
SrHoPb2
1.0
4.469 0.000 0.000
0.000 2.399 6.027
0.000 -2.399 6.027
Sr Ho Pb
1 1 2
direct
0.000 0.000 0.000 Sr
0.500 0.264 0.264 Ho
0.000 0.731 0.731 Pb
0.500 0.545 0.545 Pb
```


[6]
Entry from OQMD: a relaxed Ho2HfCu4Si4 crystal (PBE).

Summary:
VASP energy = -5.65 eV/atom
crystal system = orthorhombic
space-group type = Immm, No. 71

```
Ho2HfCu4Si4
1.0
-2.040 3.201 6.694
2.040 -3.201 6.694
2.040 3.201 -6.694
Ho Hf Cu Si
2 1 4 4
direct
0.128 0.128 0.000 Ho
0.872 0.872 0.000 Ho
0.500 0.000 0.500 Hf
0.139 0.331 0.808 Cu
0.478 0.669 0.808 Cu
0.522 0.331 0.192 Cu
0.861 0.669 0.192 Cu
0.197 0.500 0.697 Si
0.288 0.788 0.500 Si
0.712 0.212 0.500 Si
0.803 0.500 0.303 Si
```


[7]
Entry from OQMD: a relaxed AlIrNO crystal (PBE).

Summary:
ΔE to the lowest computed polymorph = 419 kJ/mol of formula units
crystal system = tetragonal
space-group type = P4/nmm, No. 129

```
AlIrNO
1.0
4.013 0.000 0.000
0.000 4.013 0.000
0.000 0.000 5.269
Al Ir N O
2 2 2 2
direct
0.250 0.750 0.000 Al
0.750 0.250 0.000 Al
0.250 0.250 0.412 Ir
0.750 0.750 0.588 Ir
0.250 0.250 0.942 N
0.750 0.750 0.058 N
0.250 0.750 0.500 O
0.750 0.250 0.500 O
```


[8]
Entry from OQMD: a relaxed La3Zn4 crystal (PBE).

Summary:
ΔE to the lowest computed polymorph = 63 kJ/mol of formula units
energy of formation from the pure elements = -0.105 eV/atom
crystal system = monoclinic
space-group type = Pm, No. 6

```
La3Zn4
1.0
9.291 0.000 0.000
0.000 4.322 0.000
-4.640 0.000 8.060
La Zn
6 8
direct
0.000 0.000 0.000 La
0.001 0.000 0.539 La
0.155 0.500 0.845 La
0.538 0.000 0.538 La
0.691 0.500 0.385 La
0.694 0.500 0.848 La
0.179 0.000 0.359 Zn
0.289 0.500 0.248 Zn
0.291 0.500 0.579 Zn
0.403 0.000 0.136 Zn
0.403 0.000 0.806 Zn
0.513 0.500 0.027 Zn
0.733 0.000 0.136 Zn
0.959 0.500 0.250 Zn
```


Results for calculated volume: 143.3, 459.7, 94.9, 204.8, 129.2, 174.9, 84.9, 323.6 (in Å³/cell, following the order of the records).